Below is crystalline Rb2LaOs3O12 at its relaxed geometry, with properties calculated at the GGA-PBE level.

Unit cell a=7.522 b=7.522 c=7.522 alpha=58.86 beta=58.86 gamma=58.86
Positions (direct):
Rb 0.119 0.119 0.119
Rb 0.881 0.881 0.881
La 0.500 0.500 0.500
Os 0.000 0.500 0.500
Os 0.500 0.000 0.500
Os 0.500 0.500 0.000
O 0.111 0.596 0.596
O 0.205 0.205 0.582
O 0.205 0.582 0.205
O 0.404 0.404 0.889
O 0.404 0.889 0.404
O 0.418 0.795 0.795
O 0.582 0.205 0.205
O 0.596 0.111 0.596
O 0.596 0.596 0.111
O 0.795 0.418 0.795
O 0.795 0.795 0.418
O 0.889 0.404 0.404

Output
ρ: 6.1 g/cm3
uncorrected formation energy: -1.4811 eV/atom